Density functional theory data (PBE) for crystalline TlRu at its relaxed geometry.

a = 2.999 Å, b = 12.231 Å, c = 6.676 Å
α = 90.00°, β = 90.00°, γ = 90.00°
Last column: magnetic moment on the atom in μB.
Fractional coordinates of all 12 atoms:
Tl 0.000 0.265 0.792  0.00
Tl 0.000 0.735 0.792  0.00
Tl 0.000 0.765 0.292  0.00
Tl 0.000 0.235 0.292  0.00
Tl 0.500 0.000 0.951  0.00
Tl 0.500 0.500 0.451  0.00
Ru 0.500 0.893 0.573  0.10
Ru 0.500 0.107 0.573  0.10
Ru 0.500 0.393 0.073  0.10
Ru 0.500 0.607 0.073  0.10
Ru 0.000 0.000 0.321  -0.01
Ru 0.000 0.500 0.821  -0.01

Calculated values
mass density: 12.4 g/cm3
E_tot: -5.345 eV/atom
space-group type: Amm2 (38)
N(E_F): 11.75 states/eV per cell
E_form: 0.4764 eV per atom